Compound: KCr2W
Source: Alexandria via LeMat-Bulk
Functional: PBEsol
Structure: relaxed

## Properties
Symmetry   No. 123
Energy   -7.2650 eV per atom
ρ   7.517 g/cm3
Fermi-level density of states   3.06 states/eV/f.u.

a b c (Å): 5.073 5.073 2.806
angles (deg): 90.00 90.00 90.00
Sites, in units of the cell vectors:
K  0.000  0.000  0.000
Cr  0.000  0.500  0.500
Cr  0.500  0.000  0.500
W  0.500  0.500  0.000